1.
Here is an optimized crystal structure of Li4CaAu4 from Alexandria via LeMat-Bulk. Energies are from GGA-PBE.

Lattice parameters (Å, degrees): 6.2615 6.2615 6.2615 97.93 97.93 136.39
With the nearest neighbours (Å) after each atom.
Fractional positions:
Li  0.0642  0.6370  0.7012  1 Li 2.49, 4 Au 2.60-2.77
Li  0.3630  0.0642  0.4272  1 Li 2.49, 4 Au 2.60-2.77
Li  0.6370  0.9358  0.5728  1 Li 2.49, 4 Au 2.60-2.77
Li  0.9358  0.3630  0.2988  1 Li 2.49, 4 Au 2.60-2.77
Ca  0.0000  0.0000  0.0000  4 Li 3.03, 8 Au 3.18
Au  0.2722  0.3668  0.6390  5 Li 2.60-2.80
Au  0.3668  0.7278  0.0946  5 Li 2.60-2.80
Au  0.6332  0.2722  0.9054  5 Li 2.60-2.80
Au  0.7278  0.6332  0.3610  5 Li 2.60-2.80

Results
energy of formation from the pure elements: -500 meV/atom
total energy: -3.030 eV/atom

2.
Here is an optimized crystal structure of CaTc2Pb from Alexandria via LeMat-Bulk. Energies are from GGA-PBE.

Lattice parameters (Å, degrees): 3.0412 3.0412 9.2856 90.00 90.00 111.03
With the nearest neighbours (Å) after each atom.
Fractional positions:
Ca  0.0000  0.0000  0.0000  4 Tc 2.99, 4 Ca 3.04
Tc  0.5000  0.5000  0.2636  2 Pb 2.79, 2 Ca 2.99, 4 Tc 3.04
Tc  0.5000  0.5000  0.7364  2 Pb 2.79, 2 Ca 2.99, 4 Tc 3.04
Pb  0.0000  0.0000  0.5000  4 Tc 2.79, 4 Pb 3.04

Results
energy of formation from the pure elements: 892 meV/atom
total energy: -5.719 eV/atom

3.
Here is an optimized crystal structure of La4RuNCl2 from Alexandria via LeMat-Bulk. Energies are from GGA-PBE.

Lattice parameters (Å, degrees): 6.7946 3.9990 7.7441 90.00 105.86 90.00
With the nearest neighbours (Å) after each atom.
Fractional positions:
La  0.2260  0.0000  0.2986  1 N 2.47
La  0.2273  0.5000  0.6932  1 Ru 2.68, 2 N 2.71
La  0.7727  0.5000  0.3068  1 Ru 2.68, 2 N 2.71
La  0.7740  0.0000  0.7014  1 N 2.47
Ru  0.5000  0.5000  0.5000  6 La 2.68-2.88
N  0.0000  0.0000  0.5000  6 La 2.47-2.71
Cl  0.0000  0.5000  0.0000  6 La 3.12-3.17
Cl  0.5000  0.0000  0.0000  6 La 3.27-3.34

Results
E_form (uncorrected): -1.2582 eV/atom
total energy: -6.384 eV/atom

4.
Here is an optimized crystal structure of AgMoBr2 from Alexandria via LeMat-Bulk. Energies are from GGA-PBE.

Lattice parameters (Å, degrees): 7.4390 7.4390 7.4390 126.37 126.37 79.28
With the nearest neighbours (Å) after each atom.
Fractional positions:
Ag  0.0000  0.0000  0.0000  4 Br 2.76
Ag  0.7500  0.2500  0.5000  4 Br 2.76
Mo  0.2500  0.7500  0.5000  4 Br 2.78
Mo  0.5000  0.5000  0.0000  4 Br 2.78
Br  0.1218  0.6250  0.9968  2 Ag 2.76, 2 Mo 2.78
Br  0.3750  0.3718  0.4968  2 Ag 2.76, 2 Mo 2.78
Br  0.6282  0.1250  0.0032  2 Ag 2.76, 2 Mo 2.78
Br  0.8750  0.8782  0.5032  2 Ag 2.76, 2 Mo 2.78

Results
E_form (uncorrected): 0.5489 eV/atom
total energy: -3.708 eV/atom

5.
Here is an optimized crystal structure of Ca2In2Ge from Alexandria via LeMat-Bulk. Energies are from GGA-PBE.

Lattice parameters (Å, degrees): 7.5206 7.5206 4.9327 90.00 90.00 90.00
With the nearest neighbours (Å) after each atom.
Fractional positions:
Ca  0.1712  0.3288  0.0000  6 In 3.20-3.39
Ca  0.3288  0.8288  0.0000  6 In 3.20-3.39
Ca  0.6712  0.1712  0.0000  6 In 3.20-3.39
Ca  0.8288  0.6712  0.0000  6 In 3.20-3.39
In  0.1367  0.6367  0.5000  1 In 2.91, 2 Ge 2.92, 2 Ca 3.20
In  0.3633  0.1367  0.5000  1 In 2.91, 2 Ge 2.92, 2 Ca 3.20
In  0.6367  0.8633  0.5000  1 In 2.91, 2 Ge 2.92, 2 Ca 3.20
In  0.8633  0.3633  0.5000  1 In 2.91, 2 Ge 2.92, 2 Ca 3.20
Ge  0.0000  0.0000  0.5000  4 In 2.92
Ge  0.5000  0.5000  0.5000  4 In 2.92

Results
energy of formation from the pure elements: -324 meV/atom
total energy: -3.144 eV/atom

6.
Here is an optimized crystal structure of Rb3CdI2O9 from Alexandria via LeMat-Bulk. Energies are from GGA-PBE.

Lattice parameters (Å, degrees): 5.9701 5.9701 7.3469 90.00 90.00 120.00
With the nearest neighbours (Å) after each atom.
Fractional positions:
Rb  0.0000  0.0000  0.0000  12 O 2.94-2.99
Rb  0.3333  0.6667  0.6666  12 O 2.99-3.06
Rb  0.6667  0.3333  0.3334  12 O 2.99-3.06
Cd  0.0000  0.0000  0.5000  6 O 2.34
I  0.3333  0.6667  0.1721  3 O 1.87
I  0.6667  0.3333  0.8279  3 O 1.87
O  0.0000  0.5000  0.0000  2 I 2.14
O  0.1808  0.3616  0.3096  1 I 1.87
O  0.1808  0.8192  0.3096  1 I 1.87
O  0.3616  0.1808  0.6904  1 I 1.87
O  0.5000  0.0000  0.0000  2 I 2.14
O  0.5000  0.5000  0.0000  2 I 2.14
O  0.6384  0.8192  0.3096  1 I 1.87
O  0.8192  0.1808  0.6904  1 I 1.87
O  0.8192  0.6384  0.6904  1 I 1.87

Results
E_form (uncorrected): -0.8204 eV/atom
total energy: -4.256 eV/atom

7.
Here is an optimized crystal structure of ScSb2Rh from Alexandria via LeMat-Bulk. Energies are from GGA-PBE.

Lattice parameters (Å, degrees): 6.2995 6.2995 6.2995 38.69 38.69 38.69
With the nearest neighbours (Å) after each atom.
Fractional positions:
Sc  0.0000  0.0000  0.0000  6 Sb 2.94
Sb  0.2373  0.2373  0.2373  3 Rh 2.71, 3 Sc 2.94
Sb  0.7627  0.7627  0.7627  3 Rh 2.71, 3 Sc 2.94
Rh  0.5000  0.5000  0.5000  6 Sb 2.71

Results
E_form (uncorrected): -0.5289 eV/atom
total energy: -6.011 eV/atom

8.
Here is an optimized crystal structure of YI3Cl from Alexandria via LeMat-Bulk. Energies are from GGA-PBE.

Lattice parameters (Å, degrees): 5.7313 5.7313 5.7313 90.00 90.00 90.00
With the nearest neighbours (Å) after each atom.
Fractional positions:
Y  0.0000  0.0000  0.0000  12 I 4.05
I  0.0000  0.5000  0.5000  2 Cl 2.87
I  0.5000  0.0000  0.5000  2 Cl 2.87
I  0.5000  0.5000  0.0000  2 Cl 2.87
Cl  0.5000  0.5000  0.5000  6 I 2.87

Results
E_form (uncorrected): 0.1890 eV/atom
total energy: -2.403 eV/atom